This record from Alexandria describes a relaxed structure of Ba2Zn12Cu5. The functional is PBE.

Output
E_form in eV per atom: -0.12
VASP energy in eV per atom: -2.2013
Space-group type: R-3m (166)
Total moment in μB/atom: 0.0000

a = 6.927 Å, b = 6.927 Å, c = 6.927 Å
α = 84.50°, β = 84.50°, γ = 84.50°
Sites, in units of the cell vectors:
Ba (0.141, 0.141, 0.141)
Ba (0.859, 0.859, 0.859)
Zn (0.168, 0.168, 0.613)
Zn (0.168, 0.613, 0.168)
Zn (0.221, 0.500, 0.779)
Zn (0.221, 0.779, 0.500)
Zn (0.387, 0.832, 0.832)
Zn (0.500, 0.221, 0.779)
Zn (0.500, 0.779, 0.221)
Zn (0.613, 0.168, 0.168)
Zn (0.779, 0.221, 0.500)
Zn (0.779, 0.500, 0.221)
Zn (0.832, 0.387, 0.832)
Zn (0.832, 0.832, 0.387)
Cu (0.000, 0.500, 0.500)
Cu (0.400, 0.400, 0.400)
Cu (0.500, 0.000, 0.500)
Cu (0.500, 0.500, 0.000)
Cu (0.600, 0.600, 0.600)